Density functional theory data (PBE-GGA) for a relaxed Tm2CrAg crystal.

a = 3.4236 Å, b = 3.4236 Å, c = 7.4879 Å
α = 90.00°, β = 90.00°, γ = 90.00°
Each line ends with the local moment (μB).
Fractional coordinates of all 4 atoms:
Ag: 0.5000 0.5000 0.5000  -0.02
Cr: 0.5000 0.5000 0.0000  2.62
Tm: 0.0000 0.0000 0.2331  -0.09
Tm: 0.0000 0.0000 0.7669  -0.09

* raw total energy: -5.35 eV/atom
* SG: P4/mmm, No. 123
* offset from the most stable computed form: 0.000 eV per atom
* Fermi-level density of states: 0.78 states/eV/atom
* DFT formation energy: 9 meV per atom

Density functional theory data (PBE-GGA) for a relaxed VCr2Ag crystal.

a = 4.3666 Å, b = 4.3666 Å, c = 4.3666 Å
α = 60.00°, β = 60.00°, γ = 60.00°
Each line ends with the local moment (μB).
Fractional coordinates of all 4 atoms:
V: 0.0000 0.0000 0.0000  -1.62
Cr: 0.7500 0.7500 0.7500  2.60
Cr: 0.2500 0.2500 0.2500  2.60
Ag: 0.5000 0.5000 0.5000  0.12

* raw total energy: -7.28 eV/atom
* SG: Fm-3m, No. 225
* offset from the most stable computed form: 0.000 eV per atom
* Fermi-level density of states: 1.16 states/eV/atom
* DFT formation energy: 522 meV per atom

Density functional theory data (PBE-GGA) for a relaxed VCrAg2 crystal.

a = 4.5735 Å, b = 4.5735 Å, c = 4.5735 Å
α = 60.00°, β = 60.00°, γ = 60.00°
Each line ends with the local moment (μB).
Fractional coordinates of all 4 atoms:
Cr: 0.5000 0.5000 0.5000  3.51
V: 0.0000 0.0000 0.0000  2.04
Ag: 0.7500 0.7500 0.7500  0.08
Ag: 0.2500 0.2500 0.2500  0.08

* raw total energy: -5.47 eV/atom
* SG: Fm-3m, No. 225
* Fermi-level density of states: 1.80 states/eV/atom
* DFT formation energy: 639 meV per atom

Density functional theory data (PBE-GGA) for a relaxed VCrAg3 crystal.

a = 4.9392 Å, b = 4.9392 Å, c = 4.9392 Å
α = 90.00°, β = 90.00°, γ = 90.00°
Each line ends with the local moment (μB).
Fractional coordinates of all 5 atoms:
Cr: 0.5000 0.5000 0.5000  4.08
V: 0.0000 0.0000 0.0000  2.35
Ag: 0.5000 0.0000 0.0000  0.08
Ag: 0.0000 0.0000 0.5000  0.08
Ag: 0.0000 0.5000 0.0000  0.08

* raw total energy: -4.05 eV/atom
* SG: Pm-3m, No. 221
* offset from the most stable computed form: 0.020 eV per atom
* Fermi-level density of states: 1.21 states/eV/atom
* DFT formation energy: 1409 meV per atom

Density functional theory data (PBE-GGA) for a relaxed VCr2Ag crystal.

a = 3.6718 Å, b = 3.6718 Å, c = 9.3054 Å
α = 78.62°, β = 78.62°, γ = 90.00°
Each line ends with the local moment (μB).
Fractional coordinates of all 8 atoms:
Cr: 0.1870 0.6250 0.2500  -0.15
Cr: 0.8750 0.8130 0.7500  -0.15
Cr: 0.3750 0.4370 0.7500  -0.15
Cr: 0.5630 0.1250 0.2500  -0.15
V: 0.2500 0.7500 0.5000  0.85
V: 0.5000 0.5000 0.0000  0.85
Ag: 0.7500 0.2500 0.5000  0.03
Ag: 0.0000 0.0000 0.0000  0.03

* raw total energy: -6.85 eV/atom
* SG: I-42d, No. 122
* offset from the most stable computed form: 0.431 eV per atom
* Fermi-level density of states: 1.13 states/eV/atom
* DFT formation energy: 954 meV per atom

Density functional theory data (PBE-GGA) for a relaxed VCrAg3 crystal.

a = 4.9256 Å, b = 4.9256 Å, c = 4.9256 Å
α = 90.00°, β = 90.00°, γ = 90.00°
Each line ends with the local moment (μB).
Fractional coordinates of all 5 atoms:
Ag: 0.5000 0.0000 0.0000  0.12
Ag: 0.0000 0.5000 0.0000  0.12
Ag: 0.0000 0.0000 0.5000  0.12
V: 0.5000 0.5000 0.5000  2.94
Cr: 0.0000 0.0000 0.0000  3.75

* raw total energy: -4.07 eV/atom
* SG: Pm-3m, No. 221
* offset from the most stable computed form: 0.000 eV per atom
* Fermi-level density of states: 2.38 states/eV/atom
* DFT formation energy: 1389 meV per atom

Density functional theory data (PBE-GGA) for a relaxed Cr2AgW crystal.

a = 4.9172 Å, b = 4.9172 Å, c = 4.9172 Å
α = 141.63°, β = 127.34°, γ = 67.01°
Fractional coordinates of all 4 atoms:
W: 0.7500 0.2500 0.5000
Cr: 0.5154 0.5154 0.0000
Cr: 0.9846 0.9846 0.0000
Ag: 0.2500 0.7500 0.5000

* raw total energy: -8.10 eV/atom
* SG: Immm, No. 71
* offset from the most stable computed form: 0.260 eV per atom
* Fermi-level density of states: 1.06 states/eV/atom
* DFT formation energy: 659 meV per atom

Density functional theory data (PBE-GGA) for a relaxed Cr2AgW crystal.

a = 2.6543 Å, b = 2.6543 Å, c = 8.7571 Å
α = 90.00°, β = 90.00°, γ = 110.56°
Fractional coordinates of all 4 atoms:
Cr: 0.0000 0.0000 0.0291
Cr: 0.5000 0.5000 0.2336
W: 0.0000 0.0000 0.4758
Ag: 0.5000 0.5000 0.7616

* raw total energy: -8.36 eV/atom
* SG: Cmm2, No. 35
* offset from the most stable computed form: 0.000 eV per atom
* Fermi-level density of states: 0.94 states/eV/atom
* DFT formation energy: 399 meV per atom

Density functional theory data (PBE-GGA) for a relaxed Cr2AgW crystal.

a = 9.1841 Å, b = 9.1841 Å, c = 9.1841 Å
α = 17.55°, β = 17.55°, γ = 17.55°
Each line ends with the local moment (μB).
Fractional coordinates of all 4 atoms:
Cr: 0.0038 0.0038 0.0038  2.18
Cr: 0.4962 0.4962 0.4962  2.18
Ag: 0.2500 0.2500 0.2500  0.03
W: 0.7500 0.7500 0.7500  -0.05

* raw total energy: -8.16 eV/atom
* SG: R-3m, No. 166
* offset from the most stable computed form: 0.201 eV per atom
* Fermi-level density of states: 0.71 states/eV/atom
* DFT formation energy: 600 meV per atom

Density functional theory data (PBE-GGA) for a relaxed Cr2AgW crystal.

a = 2.5873 Å, b = 2.5873 Å, c = 8.7197 Å
α = 90.00°, β = 90.00°, γ = 90.00°
Fractional coordinates of all 4 atoms:
Cr: 0.0000 0.0000 0.4976
Cr: 0.0000 0.0000 0.0024
W: 0.5000 0.5000 0.2500
Ag: 0.5000 0.5000 0.7500

* raw total energy: -8.17 eV/atom
* SG: P4/mmm, No. 123
* offset from the most stable computed form: 0.194 eV per atom
* Fermi-level density of states: 0.98 states/eV/atom
* DFT formation energy: 593 meV per atom

Density functional theory data (PBE-GGA) for a relaxed Cr2AgW crystal.

a = 4.3761 Å, b = 4.3761 Å, c = 4.3761 Å
α = 60.00°, β = 60.00°, γ = 60.00°
Each line ends with the local moment (μB).
Fractional coordinates of all 4 atoms:
Cr: 0.7500 0.7500 0.7500  2.45
Cr: 0.0000 0.0000 0.0000  -1.03
W: 0.2500 0.2500 0.2500  0.09
Ag: 0.5000 0.5000 0.5000  0.00

* raw total energy: -8.05 eV/atom
* SG: F-43m, No. 216
* offset from the most stable computed form: 0.318 eV per atom
* Fermi-level density of states: 1.25 states/eV/atom
* DFT formation energy: 717 meV per atom

Density functional theory data (PBE-GGA) for a relaxed Cr2AgW crystal.

a = 4.3888 Å, b = 4.3888 Å, c = 4.3888 Å
α = 60.00°, β = 60.00°, γ = 60.00°
Each line ends with the local moment (μB).
Fractional coordinates of all 4 atoms:
Cr: 0.7500 0.7500 0.7500  2.46
Cr: 0.2500 0.2500 0.2500  2.46
Ag: 0.0000 0.0000 0.0000  0.14
W: 0.5000 0.5000 0.5000  -0.77

* raw total energy: -8.21 eV/atom
* SG: Fm-3m, No. 225
* offset from the most stable computed form: 0.149 eV per atom
* Fermi-level density of states: 0.49 states/eV/atom
* DFT formation energy: 548 meV per atom

Density functional theory data (PBE-GGA) for a relaxed CrAg3W crystal.

a = 5.0632 Å, b = 5.0632 Å, c = 5.0632 Å
α = 90.00°, β = 90.00°, γ = 90.00°
Each line ends with the local moment (μB).
Fractional coordinates of all 5 atoms:
Ag: 0.0000 0.5000 0.0000  0.02
Ag: 0.5000 0.0000 0.0000  0.02
Ag: 0.0000 0.0000 0.5000  -0.01
W: 0.0000 0.0000 0.0000  0.21
Cr: 0.5000 0.5000 0.5000  -4.15

* raw total energy: -4.33 eV/atom
* SG: Pm-3m, No. 221
* offset from the most stable computed form: 0.000 eV per atom
* Fermi-level density of states: 0.93 states/eV/atom
* DFT formation energy: 1895 meV per atom

Density functional theory data (PBE-GGA) for a relaxed Cr2AgW crystal.

a = 2.8762 Å, b = 2.8762 Å, c = 7.0471 Å
α = 90.00°, β = 90.00°, γ = 90.00°
Each line ends with the local moment (μB).
Fractional coordinates of all 4 atoms:
Cr: 0.0000 0.0000 0.0472  1.63
Cr: 0.5000 0.5000 0.2202  -0.83
Ag: 0.5000 0.5000 0.7672  0.03
W: 0.0000 0.0000 0.4654  -0.04

* raw total energy: -8.33 eV/atom
* SG: P4mm, No. 99
* offset from the most stable computed form: 0.035 eV per atom
* Fermi-level density of states: 0.66 states/eV/atom
* DFT formation energy: 435 meV per atom

Density functional theory data (PBE-GGA) for a relaxed Cr3AgW crystal.

a = 4.5079 Å, b = 4.5079 Å, c = 4.5079 Å
α = 90.00°, β = 90.00°, γ = 90.00°
Fractional coordinates of all 5 atoms:
Ag: 0.5000 0.5000 0.5000
Cr: 0.5000 0.0000 0.0000
Cr: 0.0000 0.5000 0.0000
Cr: 0.0000 0.0000 0.5000
W: 0.0000 0.0000 0.0000

* raw total energy: -7.15 eV/atom
* SG: Pm-3m, No. 221
* offset from the most stable computed form: 0.000 eV per atom
* Fermi-level density of states: 2.08 states/eV/atom
* DFT formation energy: 1780 meV per atom